Te3WO12 after structural relaxation, computed with GGA+U.

Output
space group = P-1, No. 2
M_tot = 0.00 μB/f.u.
relative energy among the computed polymorphs = 0.0 meV per atom

Lattice parameters (Å, degrees): 5.0959 5.3097 7.3577 86.72 89.96 89.98
With the nearest neighbours (Å) after each atom.
Atoms (fractional coordinates):
Te1 0.0000 0.0000 0.0000  6 O 1.95-1.96
Te2 0.0000 0.0000 0.5000  6 O 1.92-1.96
Te3 0.5000 0.5000 0.0000  6 O 1.93-1.96
W1 0.5000 0.5000 0.5000  6 O 1.93-1.94
O1 0.1303 0.9996 0.7501  2 Te 1.95-1.96
O2 0.1859 0.6865 0.0663  2 Te 1.95-1.96
O3 0.1918 0.3077 0.4449  1 Te 1.93, 1 W 1.93
O4 0.3063 0.8079 0.4429  1 Te 1.92, 1 W 1.94
O5 0.3143 0.1863 0.0665  2 Te 1.95-1.96
O6 0.3854 0.4982 0.7508  1 Te 1.93, 1 W 1.93
O7 0.6146 0.5018 0.2492  1 Te 1.93, 1 W 1.93
O8 0.6857 0.8137 0.9335  2 Te 1.95-1.96
O9 0.6937 0.1921 0.5571  1 Te 1.92, 1 W 1.94
O10 0.8082 0.6923 0.5551  1 Te 1.93, 1 W 1.93
O11 0.8141 0.3135 0.9337  2 Te 1.95-1.96
O12 0.8697 0.0004 0.2499  2 Te 1.95-1.96



TeWO after structural relaxation, computed with GGA+U.

Output
space group = I4/mmm, No. 139
M_tot = 1.98 μB/f.u.
DOS(E_F) = 2.04 states/eV per cell
total DFT energy (no corrections) = -68.457 eV/cell

Lattice parameters (Å, degrees): 5.8590 5.8590 7.8465 90.00 90.00 90.00
With the nearest neighbours (Å) after each atom.
Atoms (fractional coordinates):
Te1 0.0000 0.5000 0.0000  4 W 2.93
Te2 0.0000 0.5000 0.5000  4 W 2.93
Te3 0.5000 0.0000 0.0000  4 W 2.93
Te4 0.5000 0.0000 0.5000  4 W 2.93
W1 0.0000 0.0000 0.0000  2 O 1.87
W2 0.0000 0.0000 0.5000  2 O 2.06
W3 0.5000 0.5000 0.0000  2 O 2.06
W4 0.5000 0.5000 0.5000  2 O 1.87
O1 0.0000 0.0000 0.2380  2 W 1.87-2.06
O2 0.0000 0.0000 0.7620  2 W 1.87-2.06
O3 0.5000 0.5000 0.2620  2 W 1.87-2.06
O4 0.5000 0.5000 0.7380  2 W 1.87-2.06



YTeW2O8 after structural relaxation, computed with GGA+U.

Output
space group = P-1, No. 2
M_tot = 1.01 μB/f.u.
relative energy among the computed polymorphs = 99.1 meV per atom
DOS(E_F) = 2.74 states/eV per cell

Lattice parameters (Å, degrees): 5.1199 5.9007 6.5061 107.92 109.46 93.05
With the nearest neighbours (Å) after each atom.
Atoms (fractional coordinates):
Y1 0.0000 0.0000 0.0000  6 O 2.34-2.44
Te1 0.5000 0.5000 0.0000  2 O 2.15
W1 0.2622 0.6833 0.5116  4 O 1.81-2.00
W2 0.7378 0.3167 0.4884  4 O 1.81-2.00
O1 0.0171 0.6598 0.6901  2 W 2.00-2.16
O2 0.0872 0.8305 0.3106  1 W 1.81
O3 0.4780 0.0825 0.2352  1 W 1.83
O4 0.4848 0.4306 0.6516  2 W 1.96-2.16, 1 Te 2.15
O5 0.5152 0.5694 0.3484  2 W 1.96-2.16, 1 Te 2.15
O6 0.5220 0.9175 0.7648  1 W 1.83
O7 0.9128 0.1695 0.6894  1 W 1.81
O8 0.9829 0.3402 0.3099  2 W 2.00-2.16



YTeW2O8 after structural relaxation, computed with GGA+U.

Output
space group = P-1, No. 2
M_tot = 0.99 μB/f.u.
relative energy among the computed polymorphs = 0.0 meV per atom

Lattice parameters (Å, degrees): 5.1098 6.6225 10.9945 105.17 94.85 91.14
With the nearest neighbours (Å) after each atom.
Atoms (fractional coordinates):
Y1 0.2149 0.2693 0.2745  6 O 2.25-2.47
Y2 0.7851 0.7307 0.7255  6 O 2.25-2.47
Te1 0.2857 0.3572 0.7507  4 O 2.11-2.33
Te2 0.7143 0.6428 0.2493  4 O 2.11-2.33
W1 0.2429 0.8516 0.4954  3 O 1.83-2.04
W2 0.2474 0.8501 0.0035  4 O 1.80-1.99
W3 0.7526 0.1499 0.9965  4 O 1.80-1.99
W4 0.7571 0.1484 0.5046  3 O 1.83-2.04
O1 0.0134 0.0238 0.8893  1 W 1.91
O2 0.0609 0.5981 0.3680  1 W 2.03, 1 Te 2.18
O3 0.0722 0.6317 0.8771  1 W 1.87
O4 0.0815 0.0695 0.4069  2 W 2.05-2.09
O5 0.3934 0.6979 0.1024  1 W 1.80
O6 0.4032 0.7185 0.6057  1 W 1.83
O7 0.4465 0.1321 0.6069  2 W 2.04-2.13, 1 Te 2.11
O8 0.4561 0.1291 0.1002  2 W 1.99-2.09
O9 0.5439 0.8709 0.8998  2 W 1.99-2.09
O10 0.5535 0.8679 0.3931  2 W 2.04-2.13, 1 Te 2.11
O11 0.5968 0.2815 0.3943  1 W 1.83
O12 0.6066 0.3021 0.8976  1 W 1.80
O13 0.9185 0.9305 0.5931  2 W 2.05-2.09
O14 0.9278 0.3683 0.1229  1 W 1.87
O15 0.9391 0.4019 0.6320  1 W 2.03, 1 Te 2.18
O16 0.9866 0.9762 0.1107  1 W 1.91



The records above yield calculated volume values of 12.4; 22.4; 14.5; 14.9 Å³/atom, respectively.